Record 1
VASP calculation (GGA-PBE) on Ce5ScSe6 after structural relaxation.

Results
E_form (uncorrected) (meV/atom): -1765
Total moment (μB per atom): 0.371
Uncorrected energy (eV per atom): -6.5075
Mass density (g cm⁻³): 6.69

a = 7.189 Å, b = 7.189 Å, c = 7.183 Å
α = 99.65°, β = 99.65°, γ = 120.04°
Last column: magnetic moment on the atom in μB.
Fractional coordinates of all 12 atoms:
Sc: 0.000 0.000 0.000  -0.01
Se: 0.398 0.079 0.239  -0.02
Se: 0.921 0.602 0.761  -0.02
Se: 0.237 0.237 0.755  -0.01
Se: 0.763 0.763 0.245  -0.01
Se: 0.079 0.398 0.239  -0.02
Se: 0.602 0.921 0.761  -0.02
Ce: 0.828 0.172 0.500  0.78
Ce: 0.666 0.334 0.000  0.73
Ce: 0.500 0.500 0.500  0.78
Ce: 0.334 0.666 0.000  0.73
Ce: 0.172 0.828 0.500  0.78

---

Record 2
VASP calculation (GGA-PBE) on HgMoBr2 after structural relaxation.

Results
E_form (uncorrected) (meV/atom): 447
Total moment (μB per atom): 0.947
Uncorrected energy (eV per atom): -3.1731
Mass density (g cm⁻³): 6.78

a = 3.806 Å, b = 3.804 Å, c = 7.719 Å
α = 90.00°, β = 90.00°, γ = 90.00°
Last column: magnetic moment on the atom in μB.
Fractional coordinates of all 4 atoms:
Mo: 0.500 0.500 0.694  3.13
Hg: 0.000 0.000 0.531  0.02
Br: 0.000 0.000 0.932  0.05
Br: 0.500 0.500 0.343  0.02

---

Record 3
VASP calculation (GGA-PBE) on LiBeN2O after structural relaxation.

Results
E_form (uncorrected) (meV/atom): 1582
Total moment (μB per atom): 0.334
Uncorrected energy (eV per atom): -3.8676
Mass density (g cm⁻³): 2.27

a = 3.430 Å, b = 3.430 Å, c = 3.730 Å
α = 90.00°, β = 90.00°, γ = 90.00°
Last column: magnetic moment on the atom in μB.
Fractional coordinates of all 5 atoms:
Be: 0.500 0.500 0.500  -0.03
Li: 0.000 0.000 0.000  0.01
O: 0.000 0.000 0.500  0.54
N: 0.000 0.500 0.000  0.41
N: 0.500 0.000 0.000  0.41

---

Record 4
VASP calculation (GGA-PBE) on MoPH2 after structural relaxation.

Results
Total moment (μB per atom): 0.000
Uncorrected energy (eV per atom): -4.9346
Mass density (g cm⁻³): 6.13

a = 3.668 Å, b = 3.668 Å, c = 3.668 Å
α = 60.00°, β = 60.00°, γ = 60.00°
Fractional coordinates of all 4 atoms:
P: 0.000 0.000 0.000
Mo: 0.500 0.500 0.500
H: 0.250 0.250 0.250
H: 0.750 0.750 0.750

---

- Number 2 is which compound?
  HgMoBr2

---

- total moment of number 4 (MoPH2)?
  0.000 μB per atom